Record 1
VASP calculation (PBE) on an optimized crystal structure of Sc3BIr.

E above lowest polymorph, eV per formula unit: 0.00

Geometry as CIF:
```
data_Sc3BIr
_chemical_formula_sum 'Sc3 B1 Ir1'
_symmetry_space_group_name_H-M 'P m -3 m'
_symmetry_Int_Tables_number 221
_symmetry_space_group_name_Hall '-P 4 2 3'
_cell_length_a 4.519
_cell_length_b 4.519
_cell_length_c 4.519
_cell_angle_alpha 90.00
_cell_angle_beta 90.00
_cell_angle_gamma 90.00
loop_
_atom_site_label
_atom_site_fract_x
_atom_site_fract_y
_atom_site_fract_z
_atom_site_occupancy
Sc1 0.000 0.000 0.500 1
B1 0.000 0.000 0.000 1
Ir1 0.500 0.500 0.500 1
```

Record 2
VASP calculation (PBE) on an optimized crystal structure of ScBIr3.

E above lowest polymorph, eV per formula unit: 5.10

Geometry as CIF:
```
data_ScBIr3
_chemical_formula_sum 'Sc4 B4 Ir12'
_symmetry_space_group_name_H-M 'C m c m'
_symmetry_Int_Tables_number 63
_symmetry_space_group_name_Hall '-C 2c 2'
_cell_length_a 5.084
_cell_length_b 13.966
_cell_length_c 5.080
_cell_angle_alpha 90.00
_cell_angle_beta 90.00
_cell_angle_gamma 90.00
loop_
_atom_site_label
_atom_site_fract_x
_atom_site_fract_y
_atom_site_fract_z
_atom_site_occupancy
Sc1 0.000 0.173 0.250 1
B1 0.000 0.458 0.250 1
Ir1 0.000 0.000 0.000 1
Ir2 0.247 0.151 0.750 1
```

Record 3
VASP calculation (PBE) on an optimized crystal structure of ScBIr3.

E above lowest polymorph, eV per formula unit: 15.45

Geometry as CIF:
```
data_ScBIr3
_chemical_formula_sum 'Sc1 B1 Ir3'
_symmetry_space_group_name_H-M 'P m -3 m'
_symmetry_Int_Tables_number 221
_symmetry_space_group_name_Hall '-P 4 2 3'
_cell_length_a 4.689
_cell_length_b 4.689
_cell_length_c 4.689
_cell_angle_alpha 90.00
_cell_angle_beta 90.00
_cell_angle_gamma 90.00
loop_
_atom_site_label
_atom_site_fract_x
_atom_site_fract_y
_atom_site_fract_z
_atom_site_occupancy
Sc1 0.000 0.000 0.000 1
B1 0.500 0.500 0.500 1
Ir1 0.000 0.000 0.500 1
```

Record 4
VASP calculation (PBE) on an optimized crystal structure of ScBIrSe2.

Uncorrected formation energy, eV per atom: 0.02

Geometry as CIF:
```
data_ScBIrSe2
_chemical_formula_sum 'Sc1 B1 Ir1 Se2'
_symmetry_space_group_name_H-M 'P 4/m m m'
_symmetry_Int_Tables_number 123
_symmetry_space_group_name_Hall '-P 4 2'
_cell_length_a 5.079
_cell_length_b 5.079
_cell_length_c 3.902
_cell_angle_alpha 90.00
_cell_angle_beta 90.00
_cell_angle_gamma 90.00
loop_
_atom_site_label
_atom_site_fract_x
_atom_site_fract_y
_atom_site_fract_z
_atom_site_occupancy
Sc1 0.000 0.000 0.000 1
B1 0.500 0.500 0.000 1
Ir1 0.500 0.500 0.500 1
Se1 0.000 0.500 0.500 1
```

Record 5
VASP calculation (PBE) on an optimized crystal structure of Sc2SiB2Ir5.

Uncorrected formation energy, eV per atom: -0.85

Geometry as CIF:
```
data_Sc2SiB2Ir5
_chemical_formula_sum 'Sc4 Si2 B4 Ir10'
_symmetry_space_group_name_H-M 'P 4/m b m'
_symmetry_Int_Tables_number 127
_symmetry_space_group_name_Hall '-P 4 2ab'
_cell_length_a 9.252
_cell_length_b 9.252
_cell_length_c 3.128
_cell_angle_alpha 90.00
_cell_angle_beta 90.00
_cell_angle_gamma 90.00
loop_
_atom_site_label
_atom_site_fract_x
_atom_site_fract_y
_atom_site_fract_z
_atom_site_occupancy
Sc1 0.175 0.325 0.000 1
Si1 0.000 0.000 0.000 1
B1 0.124 0.624 0.000 1
Ir1 0.000 0.500 0.500 1
Ir2 0.070 0.787 0.500 1
```

Record 6
VASP calculation (PBE) on an optimized crystal structure of Sc2SiBIr6.

Uncorrected formation energy, eV per atom: -0.48

Geometry as CIF:
```
data_Sc2SiBIr6
_chemical_formula_sum 'Sc4 Si2 B2 Ir12'
_symmetry_space_group_name_H-M 'C 1 2/m 1'
_symmetry_Int_Tables_number 12
_cell_length_a 9.434
_cell_length_b 5.442
_cell_length_c 7.127
_cell_angle_alpha 90.00
_cell_angle_beta 117.50
_cell_angle_gamma 90.00
loop_
_symmetry_equiv_pos_as_xyz
'x,y,z'
'-x,-y,-z'
'-x,y,-z'
'x,-y,z'
'x+1/2,y+1/2,z'
'-x+1/2,-y+1/2,-z'
'-x+1/2,y+1/2,-z'
'x+1/2,-y+1/2,z'
loop_
_atom_site_label
_atom_site_fract_x
_atom_site_fract_y
_atom_site_fract_z
_atom_site_occupancy
Sc1 0.199 0.000 0.113 1
Si1 0.000 0.500 0.000 1
B1 0.000 0.000 0.500 1
Ir1 0.005 0.252 0.284 1
Ir2 0.247 0.000 0.680 1
```

| no. | E_tot (eV/atom) |
| --- | --- |
| 1 | -7.0892 |
| 2 | -7.5432 |
| 3 | -5.4735 |
| 4 | -5.7508 |
| 5 | -8.4269 |
| 6 | -8.2712 |